[1]
! PBE EuCdCuPd, relaxed; values from VASP
! DOS at the Fermi energy   3.079 states/eV per atom
! Formation energy   -0.28 eV per atom
! Space-group type   F-43m, No. 216
&SYSTEM
  ibrav = 0, nat = 4, ntyp = 4
/
ATOMIC_SPECIES
Eu 151.96 Eu.upf
Cd 112.41 Cd.upf
Cu 63.55 Cu.upf
Pd 106.42 Pd.upf
ATOMIC_POSITIONS angstrom
Eu 0.000 0.000 0.000
Cd 3.454 3.454 3.454
Cu 5.181 5.181 5.181
Pd 1.727 1.727 1.727
CELL_PARAMETERS angstrom
0.000 3.454 3.454
3.454 0.000 3.454
3.454 3.454 0.000

---

[2]
! PBE LiTbBi3, relaxed; values from VASP
! DOS at the Fermi energy   0.304 states/eV per atom
! Formation energy   -0.48 eV per atom
! Space-group type   Pbcm, No. 57
&SYSTEM
  ibrav = 0, nat = 20, ntyp = 3
/
ATOMIC_SPECIES
Li 6.94 Li.upf
Tb 158.93 Tb.upf
Bi 208.98 Bi.upf
ATOMIC_POSITIONS angstrom
Li 1.548 1.571 0.000
Li 1.548 1.571 3.259
Li 12.205 4.712 0.000
Li 12.205 4.712 3.259
Tb 4.339 3.234 1.630
Tb 4.339 6.191 4.889
Tb 9.414 0.092 1.630
Tb 9.414 3.049 4.889
Bi 1.061 4.399 1.630
Bi 1.061 5.025 4.889
Bi 3.567 0.028 1.630
Bi 3.567 3.113 4.889
Bi 6.805 1.571 0.000
Bi 6.805 1.571 3.259
Bi 6.948 4.712 0.000
Bi 6.948 4.712 3.259
Bi 10.187 3.170 1.630
Bi 10.187 6.255 4.889
Bi 12.692 1.258 1.630
Bi 12.692 1.884 4.889
CELL_PARAMETERS angstrom
13.753 0.000 0.000
0.000 6.283 0.000
0.000 0.000 6.519

---

[3]
! PBE Ba2Ag2Sb, relaxed; values from VASP
! Relative energy among the computed polymorphs   0.023 eV/atom
! DOS at the Fermi energy   0.601 states/eV per atom
! Space-group type   I4/mmm, No. 139
! E_form (uncorrected)   -439 meV/atom
&SYSTEM
  ibrav = 0, nat = 5, ntyp = 3
/
ATOMIC_SPECIES
Ba 137.33 Ba.upf
Ag 107.87 Ag.upf
Sb 121.76 Sb.upf
ATOMIC_POSITIONS angstrom
Ba 0.000 0.000 1.906
Ba 0.000 0.000 17.211
Ag 2.109 0.000 4.779
Ag 0.000 2.109 4.779
Sb 0.000 0.000 9.559
CELL_PARAMETERS angstrom
-2.109 2.109 9.559
2.109 -2.109 9.559
2.109 2.109 -9.559

---

[4]
! PBE ErTm3In2, relaxed; values from VASP
! Relative energy among the computed polymorphs   0.000 eV/atom
! DOS at the Fermi energy   0.890 states/eV per atom
! Formation energy   -0.31 eV per atom
! Space-group type   Pnma, No. 62
&SYSTEM
  ibrav = 0, nat = 24, ntyp = 3
/
ATOMIC_SPECIES
Er 167.26 Er.upf
Tm 168.93 Tm.upf
In 114.82 In.upf
ATOMIC_POSITIONS angstrom
Er 0.047 0.897 1.536
Er 5.361 2.691 10.022
Er 5.454 0.897 6.949
Er 10.769 2.691 15.435
Tm 0.038 2.691 10.004
Tm 2.691 0.897 4.713
Tm 2.704 0.897 16.253
Tm 2.703 2.691 7.767
Tm 2.716 2.691 13.199
Tm 5.370 0.897 1.518
Tm 5.445 2.691 15.453
Tm 8.099 0.897 3.773
Tm 8.112 0.897 9.205
Tm 8.111 2.691 0.719
Tm 8.124 2.691 12.259
Tm 10.778 0.897 6.968
In 0.019 0.897 12.714
In 2.690 0.897 10.503
In 2.717 2.691 2.017
In 5.389 2.691 4.228
In 5.426 0.897 12.744
In 8.098 0.897 14.955
In 8.125 2.691 6.469
In 10.796 2.691 4.258
CELL_PARAMETERS angstrom
10.815 0.000 0.000
0.000 3.588 0.000
0.000 0.000 16.972

---

[5]
! PBE RbNpPdS2, relaxed; values from VASP
! DOS at the Fermi energy   1.514 states/eV per atom
! Space-group type   P2/c, No. 13
! E_form (uncorrected)   -961 meV/atom
&SYSTEM
  ibrav = 0, nat = 10, ntyp = 4
/
ATOMIC_SPECIES
Rb 85.47 Rb.upf
Np 237.00 Np.upf
Pd 106.42 Pd.upf
S 32.06 S.upf
ATOMIC_POSITIONS angstrom
Rb -0.390 0.905 1.853
Rb -1.170 4.012 5.558
Np 2.774 2.406 5.558
Np 3.554 2.511 1.853
Pd 3.944 0.000 0.000
Pd 3.164 0.000 3.705
S 0.632 1.543 7.080
S 1.412 3.374 3.375
S 4.916 1.543 4.036
S 5.695 3.374 0.331
CELL_PARAMETERS angstrom
7.887 0.000 0.000
0.000 4.917 0.000
-1.560 0.000 7.411

---

[6]
! PBE Ba3NpCu2Se6, relaxed; values from VASP
! DOS at the Fermi energy   0.877 states/eV per atom
! Space-group type   P-3m1, No. 164
! E_form (uncorrected)   -1145 meV/atom
&SYSTEM
  ibrav = 0, nat = 12, ntyp = 4
/
ATOMIC_SPECIES
Ba 137.33 Ba.upf
Np 237.00 Np.upf
Cu 63.55 Cu.upf
Se 78.96 Se.upf
ATOMIC_POSITIONS angstrom
Ba 0.000 0.000 0.000
Ba 0.000 4.460 5.108
Ba 3.862 2.230 3.206
Np 0.000 0.000 4.157
Cu 0.000 4.460 1.920
Cu 3.862 2.230 6.394
Se 0.000 2.198 2.436
Se -1.959 5.591 2.436
Se 1.904 1.099 5.878
Se 1.959 5.591 2.436
Se 5.821 1.099 5.878
Se 3.862 4.492 5.878
CELL_PARAMETERS angstrom
7.724 0.000 0.000
-3.862 6.690 0.000
0.000 0.000 8.314

---

[7]
! PBE UBeFe2, relaxed; values from VASP
! Relative energy among the computed polymorphs   0.107 eV/atom
! DOS at the Fermi energy   1.544 states/eV per atom
! Formation energy   0.04 eV per atom
! Space-group type   P4/mmm, No. 123
&SYSTEM
  ibrav = 0, nat = 4, ntyp = 3
/
ATOMIC_SPECIES
U 238.03 U.upf
Be 9.01 Be.upf
Fe 55.84 Fe.upf
ATOMIC_POSITIONS angstrom
U 0.000 0.000 0.000
Be 0.000 0.000 3.184
Fe 1.400 1.400 1.989
Fe 1.400 1.400 4.378
CELL_PARAMETERS angstrom
2.800 0.000 0.000
0.000 2.800 0.000
0.000 0.000 6.367

---

[8]
! PBE Dy2Cd3Pb3, relaxed; values from VASP
! DOS at the Fermi energy   0.412 states/eV per atom
! Formation energy   -0.32 eV per atom
! Space-group type   Pmmm, No. 47
&SYSTEM
  ibrav = 0, nat = 8, ntyp = 3
/
ATOMIC_SPECIES
Dy 162.50 Dy.upf
Cd 112.41 Cd.upf
Pb 207.20 Pb.upf
ATOMIC_POSITIONS angstrom
Dy 0.000 0.000 2.272
Dy 0.000 0.000 6.846
Cd 0.000 2.443 4.559
Cd 2.336 2.443 2.398
Cd 2.336 2.443 6.720
Pb 0.000 2.443 0.000
Pb 2.336 0.000 0.000
Pb 2.336 0.000 4.559
CELL_PARAMETERS angstrom
4.673 0.000 0.000
0.000 4.885 0.000
0.000 0.000 9.118